(1)
# LaSm2N PBE-GGA relaxed
data_LaSm2N
_chemical_formula_sum 'La3 Sm6 N3'
_cell_length_a 3.5432
_cell_length_b 3.5432
_cell_length_c 29.7620
_cell_angle_alpha 90.00
_cell_angle_beta 90.00
_cell_angle_gamma 120.00
_symmetry_space_group_name_H-M 'R -3 m'
_symmetry_Int_Tables_number 166
_symmetry_space_group_name_Hall '-R 3 2"'
loop_
_atom_site_label
_atom_site_type_symbol
_atom_site_fract_x
_atom_site_fract_y
_atom_site_fract_z
La1 La 0.0000 0.0000 0.0000
Sm1 Sm 0.0000 0.0000 0.1207
N1 N 0.0000 0.0000 0.5000
# **Crystal system**: trigonal
# **Formation energy without anion corrections**: -0.6321 eV/atom
# **DOS(E_F)**: 13.39 states/eV/cell
# **Mass density**: 6.98 g cm⁻³
# **Total energy**: -75.66 eV/cell
# **Total magnetization**: 0.611 μB/cell

***

(2)
# Rb3UBi2Te6 PBE-GGA relaxed
data_Rb3UBi2Te6
_chemical_formula_sum 'Rb6 U2 Bi4 Te12'
_cell_length_a 8.035
_cell_length_b 13.916
_cell_length_c 8.982
_cell_angle_alpha 90.00
_cell_angle_beta 107.32
_cell_angle_gamma 90.00
_symmetry_space_group_name_H-M 'C 1 2/m 1'
_symmetry_Int_Tables_number 12
_symmetry_space_group_name_Hall '-C 2y'
loop_
_atom_site_label
_atom_site_type_symbol
_atom_site_fract_x
_atom_site_fract_y
_atom_site_fract_z
Rb1 Rb 0.000 0.000 0.000
Rb2 Rb 0.000 0.332 0.000
U1 U 0.000 0.500 0.500
Bi1 Bi 0.000 0.166 0.500
Te1 Te 0.233 0.334 0.702
Te2 Te 0.237 0.000 0.703
# **Crystal system**: monoclinic
# **Formation energy without anion corrections**: -0.6784 eV/atom
# **DOS(E_F)**: 8.86 states/eV/cell
# **Mass density**: 5.81 g cm⁻³
# **Total energy**: -97.89 eV/cell
# **Total magnetization**: 5.967 μB/cell

***

(3)
# BeAlCr3 PBE-GGA relaxed
data_BeAlCr3
_chemical_formula_sum 'Be1 Al1 Cr3'
_cell_length_a 3.992
_cell_length_b 3.992
_cell_length_c 3.992
_cell_angle_alpha 90.00
_cell_angle_beta 90.00
_cell_angle_gamma 90.00
_symmetry_space_group_name_H-M 'P m -3 m'
_symmetry_Int_Tables_number 221
_symmetry_space_group_name_Hall '-P 4 2 3'
loop_
_atom_site_label
_atom_site_type_symbol
_atom_site_fract_x
_atom_site_fract_y
_atom_site_fract_z
Be1 Be 0.000 0.000 0.000
Al1 Al 0.500 0.500 0.500
Cr1 Cr 0.000 0.000 0.500
# **Crystal system**: cubic
# **DOS(E_F)**: 4.41 states/eV/cell
# **Energy relative to the elements**: 665 meV per atom
# **Mass density**: 5.01 g cm⁻³
# **Total energy**: -33.01 eV/cell
# **Total magnetization**: 2.942 μB/cell
# **Polymorph energy (0 for the lowest one)**: 0 meV/atom

***

(4)
# Ce2Sc3Pb4 PBE-GGA relaxed
data_Ce2Sc3Pb4
_chemical_formula_sum 'Ce8 Sc12 Pb16'
_cell_length_a 6.822
_cell_length_b 16.908
_cell_length_c 8.746
_cell_angle_alpha 90.00
_cell_angle_beta 90.00
_cell_angle_gamma 90.00
_symmetry_space_group_name_H-M 'C m c e'
_symmetry_Int_Tables_number 64
_symmetry_space_group_name_Hall '-C 2ac 2'
loop_
_atom_site_label
_atom_site_type_symbol
_atom_site_fract_x
_atom_site_fract_y
_atom_site_fract_z
Ce1 Ce 0.000 0.114 0.084
Sc1 Sc 0.000 0.000 0.500
Sc2 Sc 0.250 0.210 0.750
Pb1 Pb 0.000 0.185 0.446
Pb2 Pb 0.250 0.036 0.750
# **Crystal system**: orthorhombic
# **DOS(E_F)**: 72.69 states/eV/cell
# **Energy relative to the elements**: -387 meV per atom
# **Mass density**: 8.19 g cm⁻³
# **Total energy**: -196.73 eV/cell
# **Total magnetization**: 10.704 μB/cell

***

(5)
# LuTaIrRh PBE-GGA relaxed
data_LuTaIrRh
_chemical_formula_sum 'Lu4 Ta4 Ir4 Rh4'
_cell_length_a 6.543
_cell_length_b 6.543
_cell_length_c 6.543
_cell_angle_alpha 90.00
_cell_angle_beta 90.00
_cell_angle_gamma 90.00
_symmetry_space_group_name_H-M 'F -4 3 m'
_symmetry_Int_Tables_number 216
_symmetry_space_group_name_Hall 'F -4 2 3'
loop_
_atom_site_label
_atom_site_type_symbol
_atom_site_fract_x
_atom_site_fract_y
_atom_site_fract_z
Lu1 Lu 0.000 0.000 0.000
Ta1 Ta 0.000 0.000 0.500
Ir1 Ir 0.250 0.250 0.250
Rh1 Rh 0.250 0.250 0.750
# **Crystal system**: cubic
# **DOS(E_F)**: 15.53 states/eV/cell
# **Energy relative to the elements**: -607 meV per atom
# **Mass density**: 15.44 g cm⁻³
# **Total energy**: -140.06 eV/cell
# **Total magnetization**: 0.000 μB/cell

***

(6)
# Tb8Dy5In PBE-GGA relaxed
data_Tb8Dy5In
_chemical_formula_sum 'Tb16 Dy10 In2'
_cell_length_a 9.615
_cell_length_b 9.615
_cell_length_c 9.871
_cell_angle_alpha 90.00
_cell_angle_beta 90.00
_cell_angle_gamma 90.00
_symmetry_space_group_name_H-M 'I -4'
_symmetry_Int_Tables_number 82
_symmetry_space_group_name_Hall 'I -4'
loop_
_atom_site_label
_atom_site_type_symbol
_atom_site_fract_x
_atom_site_fract_y
_atom_site_fract_z
Tb1 Tb 0.067 0.172 0.338
Tb2 Tb 0.087 0.315 0.003
Dy1 Dy 0.000 0.500 0.250
Dy2 Dy 0.102 0.292 0.668
In1 In 0.000 0.000 0.000
# **Crystal system**: tetragonal
# **DOS(E_F)**: 35.98 states/eV/cell
# **Energy relative to the elements**: 186 meV per atom
# **Mass density**: 8.00 g cm⁻³
# **Total energy**: -120.38 eV/cell
# **Total magnetization**: 0.000 μB/cell